Record 1
Crystalline Ti4HgPd5 at its relaxed geometry, computed with PBE-GGA.

Unit cell a=8.202 b=9.187 c=4.643 alpha=90.00 beta=90.00 gamma=90.00
Atoms (fractional coordinates):
Ti 0.040 0.250 0.032
Ti 0.250 0.516 0.231
Ti 0.250 0.984 0.231
Ti 0.460 0.250 0.032
Ti 0.540 0.750 0.968
Ti 0.750 0.016 0.769
Ti 0.750 0.484 0.769
Ti 0.960 0.750 0.968
Hg 0.250 0.750 0.604
Hg 0.750 0.250 0.396
Pd 0.083 0.018 0.749
Pd 0.083 0.482 0.749
Pd 0.250 0.250 0.457
Pd 0.417 0.018 0.749
Pd 0.417 0.482 0.749
Pd 0.583 0.518 0.251
Pd 0.583 0.982 0.251
Pd 0.750 0.750 0.543
Pd 0.917 0.518 0.251
Pd 0.917 0.982 0.251

Results
For the total magnetization, the calculation gives 0.0000 μB per atom. The value obtained for the energy above the most stable polymorph in this dataset is 122 meV/atom. The calculated density is 8.77 g/cm3. The formation energy comes out at -3.47 eV/f.u. Its space group is Pmmn, No. 59.

***

Record 2
Crystalline FeIrOs at its relaxed geometry, computed with PBE-GGA.

Unit cell a=7.062 b=6.823 c=2.673 alpha=83.99 beta=73.90 gamma=22.11
Atoms (fractional coordinates):
Fe 0.000 0.000 0.000
Ir 0.338 0.338 0.662
Os 0.660 0.660 0.340

Results
For the total magnetization, the calculation gives 1.0714 μB per atom. The value obtained for the energy above the most stable polymorph in this dataset is 315 meV/atom. The calculated density is 17.22 g/cm3. The formation energy comes out at 1.02 eV/f.u. Its space group is Fmm2, No. 42.

***

Record 3
Crystalline Na3Sr2Ca at its relaxed geometry, computed with PBE-GGA.

Unit cell a=7.171 b=7.171 c=11.732 alpha=90.00 beta=90.00 gamma=120.00
Atoms (fractional coordinates):
Na 0.179 0.358 0.246
Na 0.179 0.821 0.246
Na 0.358 0.179 0.754
Na 0.642 0.821 0.246
Na 0.821 0.179 0.754
Na 0.821 0.642 0.754
Sr 0.000 0.000 0.000
Sr 0.000 0.000 0.500
Sr 0.333 0.667 0.572
Sr 0.667 0.333 0.428
Ca 0.333 0.667 0.941
Ca 0.667 0.333 0.059

Results
For the total magnetization, the calculation gives 0.0000 μB per atom. The value obtained for the energy above the most stable polymorph in this dataset is 0 meV/atom. The calculated density is 1.81 g/cm3. The formation energy comes out at 0.32 eV/f.u. Its space group is P-3m1, No. 164.

***

Record 4
Crystalline Ac2La3Pm2 at its relaxed geometry, computed with PBE-GGA.

Unit cell a=6.667 b=13.409 c=7.307 alpha=90.00 beta=122.21 gamma=90.00
Atoms (fractional coordinates):
Ac 0.079 0.123 0.159
Ac 0.079 0.377 0.659
Ac 0.921 0.623 0.341
Ac 0.921 0.877 0.841
La 0.483 0.716 0.834
La 0.483 0.784 0.334
La 0.500 0.000 0.000
La 0.500 0.500 0.500
La 0.517 0.216 0.666
La 0.517 0.284 0.166
Pm 0.082 0.605 0.925
Pm 0.082 0.895 0.425
Pm 0.918 0.105 0.575
Pm 0.918 0.395 0.075

Results
For the total magnetization, the calculation gives 0.0000 μB per atom. The value obtained for the energy above the most stable polymorph in this dataset is 36 meV/atom. The calculated density is 6.97 g/cm3. The formation energy comes out at 1.12 eV/f.u. Its space group is P2_1/c, No. 14.

***

Record 5
Crystalline LuPuAgRu at its relaxed geometry, computed with PBE-GGA.

Unit cell a=4.919 b=4.919 c=4.919 alpha=60.00 beta=60.00 gamma=60.00
Atoms (fractional coordinates):
Lu 0.000 0.000 0.000
Pu 0.500 0.500 0.500
Ag 0.250 0.250 0.250
Ru 0.750 0.750 0.750

Results
For the total magnetization, the calculation gives 1.3702 μB per atom. The calculated density is 12.39 g/cm3. The formation energy comes out at -0.56 eV/f.u. Its space group is F-43m, No. 216.

***

Record 6
Crystalline Li3Ga4Rh2 at its relaxed geometry, computed with PBE-GGA.

Unit cell a=4.265 b=4.265 c=8.033 alpha=90.00 beta=90.00 gamma=120.00
Atoms (fractional coordinates):
Li 0.000 0.000 0.000
Li 0.333 0.667 0.447
Li 0.667 0.333 0.553
Ga 0.000 0.000 0.330
Ga 0.000 0.000 0.670
Ga 0.333 0.667 0.115
Ga 0.667 0.333 0.885
Rh 0.333 0.667 0.790
Rh 0.667 0.333 0.210

Results
For the total magnetization, the calculation gives 0.0000 μB per atom. The calculated density is 6.63 g/cm3. The formation energy comes out at -4.93 eV/f.u. Its space group is P-3m1, No. 164.